[1]
# Li2FePt, relaxed, DFT PBE
# - DOS(E_F) (states/eV per cell) = 2.663
# - energy of formation from the pure elements (eV/atom) = -0.1601
data_Li2FePt
_chemical_formula_sum 'Li2 Fe1 Pt1'
_cell_length_a 9.025
_cell_length_b 9.025
_cell_length_c 9.025
_cell_angle_alpha 17.12
_cell_angle_beta 17.12
_cell_angle_gamma 17.12
_symmetry_space_group_name_H-M 'P 1'
_symmetry_Int_Tables_number 1
loop_
_symmetry_equiv_pos_as_xyz
'x,y,z'
loop_
_atom_site_label
_atom_site_fract_x
_atom_site_fract_y
_atom_site_fract_z
Fe1 0.750 0.750 0.750
Li1 0.504 0.504 0.504
Li2 0.996 0.996 0.996
Pt1 0.250 0.250 0.250

=====

[2]
# Li2FePt2, relaxed, DFT PBE
# - DOS(E_F) (states/eV per cell) = 2.541
# - energy of formation from the pure elements (eV/atom) = 0.0260
data_Li2FePt2
_chemical_formula_sum 'Li2 Fe1 Pt2'
_cell_length_a 4.181
_cell_length_b 4.181
_cell_length_c 4.915
_cell_angle_alpha 64.83
_cell_angle_beta 64.83
_cell_angle_gamma 90.00
_symmetry_space_group_name_H-M 'P 1'
_symmetry_Int_Tables_number 1
loop_
_symmetry_equiv_pos_as_xyz
'x,y,z'
loop_
_atom_site_label
_atom_site_fract_x
_atom_site_fract_y
_atom_site_fract_z
Pt1 0.750 0.250 0.500
Pt2 0.250 0.750 0.500
Fe1 0.000 0.000 0.000
Li1 0.618 0.618 0.764
Li2 0.382 0.382 0.236

=====

[3]
# LiFe2Pt, relaxed, DFT PBE
# - DOS(E_F) (states/eV per cell) = 3.645
# - energy of formation from the pure elements (eV/atom) = -0.0496
data_LiFe2Pt
_chemical_formula_sum 'Li1 Fe2 Pt1'
_cell_length_a 2.657
_cell_length_b 2.657
_cell_length_c 7.728
_cell_angle_alpha 90.00
_cell_angle_beta 90.00
_cell_angle_gamma 90.00
_symmetry_space_group_name_H-M 'P 1'
_symmetry_Int_Tables_number 1
loop_
_symmetry_equiv_pos_as_xyz
'x,y,z'
loop_
_atom_site_label
_atom_site_fract_x
_atom_site_fract_y
_atom_site_fract_z
Pt1 0.500 0.500 0.756
Fe1 0.500 0.500 0.232
Fe2 0.000 0.000 0.000
Li1 0.000 0.000 0.511

=====

[4]
# Li2FePt, relaxed, DFT PBE
# - DOS(E_F) (states/eV per cell) = 2.050
# - energy of formation from the pure elements (eV/atom) = -0.1698
data_Li2FePt
_chemical_formula_sum 'Li2 Fe1 Pt1'
_cell_length_a 4.616
_cell_length_b 4.616
_cell_length_c 4.676
_cell_angle_alpha 80.60
_cell_angle_beta 80.60
_cell_angle_gamma 34.33
_symmetry_space_group_name_H-M 'P 1'
_symmetry_Int_Tables_number 1
loop_
_symmetry_equiv_pos_as_xyz
'x,y,z'
loop_
_atom_site_label
_atom_site_fract_x
_atom_site_fract_y
_atom_site_fract_z
Pt1 0.500 0.500 0.530
Li1 0.242 0.242 0.237
Li2 0.002 0.002 0.022
Fe1 0.755 0.755 0.711